Density functional theory data (PBE) for an optimized crystal structure of SrZrSb2.

- formation energy (no corrections) (kJ per mole of atoms) = -73.90
- space group = R3m
- mass density (g/cm³) = 5.7
- D(E_F) (states/eV/atom) = 0.3248

```
4
Lattice="-1.0580 -3.8428 -1.5655 1.3982 -1.1956 -3.8669 6.4620 -4.7491 1.4339" Properties=species:S:1:pos:R:3 pbc="T T T"
Sr 3.4404 -4.9128 -1.9791
Zr 6.6543 -8.0913 -2.2053
Sb 5.1126 -4.0966 0.7443
Sb 1.4581 -2.3296 -1.1235
```